(1)
First-principles (GGA-PBEsol) data for K2SnGeMo after structural relaxation, as listed in Alexandria via LeMat-Bulk.

Summary:
ΔH_f (0 K) = 1.3568 eV/atom
total magnetic moment = 5.35 μB/f.u.

Lattice parameters (Å, degrees): 6.615 6.615 5.158 90.00 90.00 90.00
Space group P4/mmm (No. 123)
Unique sites:
K 0.000 0.500 0.000 x2
Sn 0.000 0.000 0.000 x1
Ge 0.000 0.000 0.500 x1
Mo 0.500 0.500 0.500 x1


(2)
First-principles (GGA-PBEsol) data for KGeN2 after structural relaxation, as listed in Alexandria via LeMat-Bulk.

Summary:
total magnetic moment = 1.00 μB/f.u.
formation energy from raw total energies = 3.19 eV per formula unit

Lattice parameters (Å, degrees): 3.9188 3.9188 20.0217 90.00 90.00 120.00
Space group R-3m (No. 166, hexagonal axes)
Unique sites:
K 0.0000 0.0000 0.0000 x3
Ge 0.0000 0.0000 0.5000 x3
N 0.0000 0.0000 0.4157 x6


Electronic total energy values, unit eV per formula unit, following the record order: -16.4, -19.9.